<one>
# Ca5Tl

A PBEsol-optimized structure of Ca5Tl (meta-GGA SCAN, Alexandria via LeMat-Bulk).

Lattice parameters (Å, degrees): 6.2851 6.7408 6.7408 120.00 90.00 90.00
Closest atoms and distances in Å follow each position.
Atoms (fractional coordinates):
Ca1 0.0000 0.6667 0.3333  9 Ca 3.70-3.89, 3 Tl 3.89
Ca2 0.0000 0.3333 0.6667  9 Ca 3.70-3.89, 3 Tl 3.89
Ca3 0.5000 0.5000 0.5000  8 Ca 3.37-3.70
Ca4 0.5000 0.0000 0.5000  8 Ca 3.37-3.70
Ca5 0.5000 0.5000 0.0000  8 Ca 3.37-3.70
Tl1 0.0000 0.0000 0.0000  6 Ca 3.89

Results
* SG: No. 191



<two>
# Ca5Tl

A PBEsol-optimized structure of Ca5Tl (meta-GGA SCAN, Alexandria via LeMat-Bulk).

Lattice parameters (Å, degrees): 3.9028 6.8778 9.0239 110.41 90.00 106.48
Closest atoms and distances in Å follow each position.
Atoms (fractional coordinates):
Tl1 0.3056 0.6112 0.1111  8 Ca 3.21-3.39
Ca1 0.9433 0.8865 0.9729  2 Tl 3.21
Ca2 0.3055 0.6110 0.6111  12 Ca 3.67-4.08
Ca3 0.6678 0.3356 0.2492  2 Tl 3.21
Ca4 0.6372 0.2744 0.8165  2 Tl 3.39, 2 Ca 3.76-3.78
Ca5 0.9739 0.9479 0.4058  2 Tl 3.39, 2 Ca 3.76-3.78

Results
* SG: No. 12



Energy relative to the most stable one, in meV/atom: <one> 505; <two> 0



<one>
# Sc2CoCl

A PBEsol-optimized structure of Sc2CoCl (meta-GGA SCAN, Alexandria via LeMat-Bulk).

Lattice parameters (Å, degrees): 3.0630 3.1689 7.3761 90.01 90.00 90.00
Closest atoms and distances in Å follow each position.
Atoms (fractional coordinates):
Sc1 0.0000 0.9997 0.7955  2 Cl 2.66, 4 Co 2.67
Sc2 0.0000 0.0003 0.2045  2 Cl 2.66, 4 Co 2.67
Co1 0.5000 0.5000 0.0000  8 Sc 2.67
Cl1 0.5000 0.0000 0.5000  4 Sc 2.66

Results
* SG: No. 47



<two>
# Sc2CoCl

A PBEsol-optimized structure of Sc2CoCl (meta-GGA SCAN, Alexandria via LeMat-Bulk).

Lattice parameters (Å, degrees): 3.6007 3.6007 5.2238 90.00 90.00 90.00
Closest atoms and distances in Å follow each position.
Atoms (fractional coordinates):
Sc1 0.0000 0.0000 0.8746  4 Co 2.55, 2 Cl 2.61
Sc2 0.5000 0.5000 0.3764  4 Cl 2.55, 2 Co 2.60-2.62
Co1 0.5000 0.5000 0.8748  6 Sc 2.55-2.62
Cl1 0.0000 0.0000 0.3742  6 Sc 2.55-2.61

Results
* SG: No. 99



Energy relative to the most stable one, in meV/atom: <one> 0; <two> 303